No. 1
This record from the Alexandria database describes an optimized crystal structure of AsIrRh2. The functional is PBE.

```
4
Lattice="4.828 0.003 -0.008 3.976 2.739 -0.008 1.406 0.438 4.439" Properties=species:S:1:pos:R:3 pbc="T T T"
As 2.553 0.795 1.106
Ir 7.658 2.385 3.317
Rh 8.642 2.692 0.005
Rh 5.268 1.641 2.190
```

Calculated values
Space-group type   C2/m
Magnetic moment   0.000 μB per formula unit
Calculated density   13.38 Mg/m³
Calculated formation energy   0.752 kcal/mol of atoms
DOS at the Fermi energy   5.0 states/eV/f.u.

No. 2
This record from the Alexandria database describes an optimized crystal structure of CaTe2Pt. The functional is PBE.

```
4
Lattice="4.280 0.012 0.012 2.068 3.747 0.012 2.001 1.185 6.778" Properties=species:S:1:pos:R:3 pbc="T T T"
Ca 6.262 3.709 5.102
Te 6.374 3.775 0.344
Te 4.148 2.457 3.081
Pt 2.087 1.236 1.701
```

Calculated values
Space-group type   C2/m
Magnetic moment   0.000 μB per formula unit
Energy above the most stable polymorph in this dataset   0.99 eV per formula unit
Calculated density   7.51 Mg/m³
Energy relative to the elements, uncorrected   -0.610 eV/atom
DOS at the Fermi energy   4.8 states/eV/f.u.

No. 3
This record from the Alexandria database describes an optimized crystal structure of NaCuN2O. The functional is PBE.

```
5
Lattice="-1.142 3.197 2.269 -2.046 -2.502 2.496 3.250 -0.426 2.237" Properties=species:S:1:pos:R:3 pbc="T T T"
Na 0.000 0.000 0.000
O 1.625 -0.213 1.118
Cu 0.031 0.135 3.501
N -1.023 -1.251 1.248
N -0.571 1.599 1.134
```

Calculated values
Space-group type   P4/mmm
Magnetic moment   0.482 μB per formula unit
Calculated density   3.28 Mg/m³
Energy relative to the elements, uncorrected   2.424 eV/atom
DOS at the Fermi energy   4.9 states/eV/f.u.

No. 4
This record from the Alexandria database describes an optimized crystal structure of Pa2SnAu3. The functional is PBE.

```
6
Lattice="3.282 0.000 -0.874 -0.337 4.456 -1.266 0.741 0.302 9.385" Properties=species:S:1:pos:R:3 pbc="T T T"
Pa 0.571 0.652 2.144
Pa 3.277 1.871 5.710
Sn 1.881 4.572 7.067
Au 2.318 3.194 2.106
Au 1.647 2.427 -0.416
Au 1.195 3.787 4.490
```

Calculated values
Space-group type   Imm2
Magnetic moment   2.264 μB per formula unit
Calculated density   13.75 Mg/m³
Calculated formation energy   -4.065 kcal/mol of atoms
DOS at the Fermi energy   8.9 states/eV/f.u.

Please write out number 2 again, unchanged.
This record from the Alexandria database describes an optimized crystal structure of CaTe2Pt. The functional is PBE.

```
4
Lattice="4.280 0.012 0.012 2.068 3.747 0.012 2.001 1.185 6.778" Properties=species:S:1:pos:R:3 pbc="T T T"
Ca 6.262 3.709 5.102
Te 6.374 3.775 0.344
Te 4.148 2.457 3.081
Pt 2.087 1.236 1.701
```

Calculated values
Space-group type   C2/m
Magnetic moment   0.000 μB per formula unit
Energy above the most stable polymorph in this dataset   0.99 eV per formula unit
Calculated density   7.51 Mg/m³
Energy relative to the elements, uncorrected   -0.610 eV/atom
DOS at the Fermi energy   4.8 states/eV/f.u.

Q: Which of these has the highest calculated density?
A: Pa2SnAu3